Ce2Nd8Tm | PBE | optimized geometry

* N(E_F): 22.9 states/eV/f.u.
* E_form: 0.156 eV/atom

Cell: 5.6401 8.3528 9.4859 Å, 116.12 107.29 90.00°
With the nearest neighbours (Å) after each atom.
Sites, in units of the cell vectors:
Nd (0.1571, 0.1571, 0.3142)  8 Nd 3.53-3.75, 2 Ce 3.63, 2 Tm 3.79
Nd (0.6388, 0.4326, 0.2777)  1 Tm 3.32, 4 Nd 3.45-3.71, 3 Ce 3.45-3.56
Nd (0.0000, 0.7044, 0.0000)  7 Nd 3.41-3.60, 2 Ce 3.65, 2 Tm 3.75
Nd (0.3612, 0.5674, 0.7223)  1 Tm 3.32, 4 Nd 3.45-3.71, 3 Ce 3.45-3.56
Nd (0.8429, 0.8429, 0.6858)  8 Nd 3.53-3.75, 2 Ce 3.63, 2 Tm 3.79
Nd (0.6389, 0.8452, 0.2777)  1 Tm 3.32, 4 Nd 3.45-3.71, 3 Ce 3.45-3.56
Nd (0.3611, 0.1548, 0.7223)  1 Tm 3.32, 4 Nd 3.45-3.71, 3 Ce 3.45-3.56
Nd (0.0000, 0.2956, 0.0000)  7 Nd 3.41-3.60, 2 Ce 3.65, 2 Tm 3.75
Tm (0.5000, 0.0000, 0.0000)  4 Nd 3.32
Ce (0.7992, 0.2993, 0.5985)  10 Nd 3.45-3.65
Ce (0.2008, 0.7007, 0.4015)  10 Nd 3.45-3.65